## YFeO3 (PBE with a Hubbard U)

Data for a relaxed YFeO3 crystal.

Lattice parameters (Å, degrees): 6.1559 6.1559 11.8488 90.00 90.00 120.00
Space group P6_3cm (No. 185)
Unique sites:
Y 0.0000 0.0000 0.0000
Y 0.3333 0.6667 0.4568
Fe 0.0000 0.3341 0.2247
O 0.0000 0.0000 0.2011
O 0.0000 0.3061 0.3890
O 0.0000 0.3603 0.0619
O 0.3333 0.6667 0.2448

Computed properties:
DFT total energy (eV per atom): -7.916